A plane-wave DFT calculation with PBE was carried out for an optimized crystal structure of Ce5PuSnSb2.

ΔE_f (raw) (eV per atom): -0.52
Theoretical density (Mg/m³): 8.413
Density of states at the Fermi level (states/eV/atom): 1.9458

Cell lengths 8.1691, 8.1691, 15.4609 Å; angles 90.00, 90.00, 90.00 degrees
Last column: nearest neighbours and their distance in Å.
Space group I4/mcm (No. 140)
Asymmetric unit:
Ce (0.0000, 0.0000, 0.0000) [4 per cell]  4 Sb 3.16
Ce (0.1668, 0.3332, 0.1437) [16 per cell]  1 Pu 2.53
Pu (0.0000, 0.5000, 0.2500) [4 per cell]  4 Ce 2.53
Sn (0.0000, 0.0000, 0.2500) [4 per cell]  10 Ce 3.46-3.87
Sb (0.1392, 0.3608, 0.5000) [8 per cell]  8 Ce 3.16-3.35, 1 Sb 3.22